The following is a DFT calculation (PBE) of AcIn2Bi3 after structural relaxation.

a b c (Å): 4.844 12.419 6.812
angles (deg): 90.00 90.00 90.00
Sites, in units of the cell vectors:
1 Ac 0.000 0.124 0.000
2 Ac 0.000 0.876 0.500
3 In 0.000 0.225 0.485
4 In 0.000 0.775 0.985
5 In 0.500 0.445 0.563
6 In 0.500 0.555 0.063
7 Bi 0.000 0.390 0.834
8 Bi 0.000 0.610 0.334
9 Bi 0.500 0.051 0.663
10 Bi 0.500 0.306 0.180
11 Bi 0.500 0.694 0.680
12 Bi 0.500 0.949 0.163

Output
Raw total energy = -0.140 Ha/atom

The following is a DFT calculation (PBE) of Ac6In5Bi after structural relaxation.

a b c (Å): 9.898 9.898 5.588
angles (deg): 106.36 106.36 115.69
Sites, in units of the cell vectors:
1 Ac 0.084 0.416 0.750
2 Ac 0.248 0.248 0.248
3 Ac 0.416 0.084 0.750
4 Ac 0.584 0.916 0.250
5 Ac 0.752 0.752 0.752
6 Ac 0.916 0.584 0.250
7 In 0.000 0.000 0.500
8 In 0.168 0.832 0.000
9 In 0.326 0.674 0.500
10 In 0.674 0.326 0.500
11 In 0.832 0.168 0.000
12 Bi 0.500 0.500 0.000

Output
Raw total energy = -0.146 Ha/atom

The following is a DFT calculation (PBE) of KAcInBi after structural relaxation.

a b c (Å): 5.880 5.880 5.880
angles (deg): 60.00 60.00 60.00
Sites, in units of the cell vectors:
1 K 0.000 0.000 0.000
2 Ac 0.500 0.500 0.500
3 In 0.750 0.750 0.750
4 Bi 0.250 0.250 0.250

Output
Raw total energy = -0.120 Ha/atom

The following is a DFT calculation (PBE) of K2AcInBi2 after structural relaxation.

a b c (Å): 4.781 10.417 9.507
angles (deg): 90.00 90.00 90.00
Sites, in units of the cell vectors:
1 K 0.000 0.075 0.000
2 K 0.000 0.925 0.500
3 K 0.500 0.186 0.303
4 K 0.500 0.814 0.803
5 Ac 0.500 0.441 0.872
6 Ac 0.500 0.559 0.372
7 In 0.000 0.276 0.559
8 In 0.000 0.724 0.059
9 Bi 0.000 0.433 0.146
10 Bi 0.000 0.567 0.646
11 Bi 0.500 0.153 0.729
12 Bi 0.500 0.847 0.229

Output
Raw total energy = -0.121 Ha/atom

The following is a DFT calculation (PBE) of LiAcInBi after structural relaxation.

a b c (Å): 5.587 5.587 5.587
angles (deg): 60.00 60.00 60.00
Sites, in units of the cell vectors:
1 Li 0.000 0.000 0.000
2 Ac 0.500 0.500 0.500
3 In 0.250 0.250 0.250
4 Bi 0.750 0.750 0.750

Output
Raw total energy = -0.130 Ha/atom

The following is a DFT calculation (PBE) of AcLuInBi after structural relaxation.

a b c (Å): 5.630 5.630 5.630
angles (deg): 60.00 60.00 60.00
Sites, in units of the cell vectors:
1 Ac 0.000 0.000 0.000
2 Lu 0.500 0.500 0.500
3 In 0.750 0.750 0.750
4 Bi 0.250 0.250 0.250

Output
Raw total energy = -0.155 Ha/atom

no.,energy of formation from the pure elements (eV/atom)
1,-0.260
2,-0.466
3,-0.305
4,-0.485
5,-0.389
6,-0.398